1.
This record from Alexandria via LeMat-Bulk describes crystalline LiPm3Ga3 at its relaxed geometry. The functional is PBE-GGA.

Cell and atoms, written as CIF:
```
data_LiPm3Ga3
_chemical_formula_sum 'Li2 Pm6 Ga6'
_cell_length_a 4.5442
_cell_length_b 5.8547
_cell_length_c 14.0698
_cell_angle_alpha 86.21
_cell_angle_beta 80.71
_cell_angle_gamma 67.16
_symmetry_space_group_name_H-M 'P 1'
_symmetry_Int_Tables_number 1
loop_
_symmetry_equiv_pos_as_xyz
'x,y,z'
loop_
_atom_site_label
_atom_site_fract_x
_atom_site_fract_y
_atom_site_fract_z
Li1 0.7525 0.0921 0.4028
Li2 0.2475 0.9079 0.5972
Pm1 0.5466 0.2884 0.6184
Pm2 0.4534 0.7116 0.3816
Pm3 0.2493 0.2767 0.2247
Pm4 0.7507 0.7233 0.7753
Pm5 0.3976 0.2798 0.9250
Pm6 0.6024 0.7202 0.0750
Ga1 0.8755 0.7003 0.5487
Ga2 0.1245 0.2997 0.4513
Ga3 0.1105 0.8547 0.9242
Ga4 0.8895 0.1453 0.0758
Ga5 0.9601 0.8512 0.2286
Ga6 0.0399 0.1488 0.7714
```

Raw total energy = -4.10 eV/atom
Fermi-level density of states = 10.99 states/eV/cell

***

2.
This record from Alexandria via LeMat-Bulk describes crystalline ScFe2 at its relaxed geometry. The functional is PBE-GGA.

Cell and atoms, written as CIF:
```
data_ScFe2
_chemical_formula_sum 'Sc2 Fe4'
_cell_length_a 6.6645
_cell_length_b 6.6645
_cell_length_c 4.2562
_cell_angle_alpha 90.00
_cell_angle_beta 90.00
_cell_angle_gamma 152.11
_symmetry_space_group_name_H-M 'P 1'
_symmetry_Int_Tables_number 1
loop_
_symmetry_equiv_pos_as_xyz
'x,y,z'
loop_
_atom_site_label
_atom_site_fract_x
_atom_site_fract_y
_atom_site_fract_z
Sc1 0.4165 0.5835 0.7500
Sc2 0.5835 0.4165 0.2500
Fe1 0.7465 0.2535 0.7500
Fe2 0.8866 0.1134 0.2500
Fe3 0.1134 0.8866 0.7500
Fe4 0.2535 0.7465 0.2500
```

Raw total energy = -7.78 eV/atom
Fermi-level density of states = 3.65 states/eV/cell

***

3.
This record from Alexandria via LeMat-Bulk describes crystalline MoPtCl2 at its relaxed geometry. The functional is PBE-GGA.

Cell and atoms, written as CIF:
```
data_MoPtCl2
_chemical_formula_sum 'Mo1 Pt1 Cl2'
_cell_length_a 2.9109
_cell_length_b 2.9109
_cell_length_c 8.6389
_cell_angle_alpha 90.00
_cell_angle_beta 90.00
_cell_angle_gamma 90.00
_symmetry_space_group_name_H-M 'P 1'
_symmetry_Int_Tables_number 1
loop_
_symmetry_equiv_pos_as_xyz
'x,y,z'
loop_
_atom_site_label
_atom_site_fract_x
_atom_site_fract_y
_atom_site_fract_z
Mo1 0.5000 0.5000 0.2500
Pt1 0.5000 0.5000 0.7500
Cl1 0.0000 0.0000 0.0734
Cl2 0.0000 0.0000 0.4266
```

Uncorrected formation energy = 0.506 eV per atom
Fermi-level density of states = 4.49 states/eV/cell

***

4.
This record from Alexandria via LeMat-Bulk describes crystalline Sm8OsPd2 at its relaxed geometry. The functional is PBE-GGA.

Cell and atoms, written as CIF:
```
data_Sm8OsPd2
_chemical_formula_sum 'Sm8 Os1 Pd2'
_cell_length_a 6.2741
_cell_length_b 7.7771
_cell_length_c 7.7772
_cell_angle_alpha 114.11
_cell_angle_beta 101.76
_cell_angle_gamma 101.76
_symmetry_space_group_name_H-M 'P 1'
_symmetry_Int_Tables_number 1
loop_
_symmetry_equiv_pos_as_xyz
'x,y,z'
loop_
_atom_site_label
_atom_site_fract_x
_atom_site_fract_y
_atom_site_fract_z
Sm1 0.5853 0.3439 0.0885
Sm2 0.5853 0.0885 0.3439
Sm3 0.1685 0.3541 0.3541
Sm4 0.9864 0.2001 0.7990
Sm5 0.9864 0.7990 0.2001
Sm6 0.8116 0.6504 0.6504
Sm7 0.3624 0.9163 0.6624
Sm8 0.3624 0.6624 0.9163
Os1 0.1740 0.0042 0.0042
Pd1 0.4887 0.6959 0.3190
Pd2 0.4887 0.3190 0.6959
```

Raw total energy = -5.63 eV/atom
Fermi-level density of states = 12.16 states/eV/cell